First-principles (PBE-GGA) data for a relaxed ZnCo2P crystal, as listed in the Alexandria database.

a b c (Å): 5.6388 5.6388 5.6388
angles (deg): 152.18 143.94 46.15
With the nearest neighbours (Å) after each atom.
Fractional coordinates of all 4 atoms:
P 0.5340 0.5340 0.0000  6 Co 2.15-2.29
Zn 0.2955 0.7955 0.5000  6 Co 2.44-2.56, 2 Zn 2.71
Co 0.9753 0.9753 0.0000  4 P 2.29, 2 Zn 2.56
Co 0.6952 0.1952 0.5000  2 P 2.15

Summary:
- Crystal system: orthorhombic
- E: -5.376 eV/atom
- DOS(E_F): 2.19 states/eV/cell
- Energy above the lowest structure with this stoichiometry: 102 meV/atom
- Magnetic moment: 0.00 μB/f.u.

***

First-principles (PBE-GGA) data for a relaxed Zn2CoP crystal, as listed in the Alexandria database.

a b c (Å): 4.6263 2.7235 4.2445
angles (deg): 97.42 90.00 90.00
With the nearest neighbours (Å) after each atom.
Fractional coordinates of all 4 atoms:
Co 0.5000 0.2500 0.2500  2 P 2.37, 4 Zn 2.60
Zn 0.0000 0.9708 0.0103  3 Zn 2.38-2.49, 2 P 2.60, 2 Co 2.60
P 0.5000 0.7500 0.7500  2 Co 2.37, 4 Zn 2.60
Zn 0.0000 0.5292 0.4897  3 Zn 2.38-2.49, 2 P 2.60, 2 Co 2.60

Summary:
- Crystal system: monoclinic
- E: -3.644 eV/atom
- DOS(E_F): 2.24 states/eV/cell
- Magnetic moment: 0.00 μB/f.u.

***

First-principles (PBE-GGA) data for a relaxed ZnCo2P crystal, as listed in the Alexandria database.

a b c (Å): 8.1687 8.1687 8.1687
angles (deg): 18.91 18.91 18.91
With the nearest neighbours (Å) after each atom.
Fractional coordinates of all 4 atoms:
Zn 0.7463 0.7463 0.7463  3 Co 2.56, 6 Zn 2.68, 3 P 2.86
Co 0.2455 0.2455 0.2455  3 P 2.21
P 0.5131 0.5131 0.5131  3 Co 2.21
Co 0.9951 0.9951 0.9951  9 Co 2.53-2.68, 3 Zn 2.56

Summary:
- Crystal system: trigonal
- E: -5.143 eV/atom
- DOS(E_F): 3.16 states/eV/cell
- Energy above the lowest structure with this stoichiometry: 334 meV/atom
- Magnetic moment: 2.06 μB/f.u.

***

First-principles (PBE-GGA) data for a relaxed ZnCo2P crystal, as listed in the Alexandria database.

a b c (Å): 3.9836 3.9836 3.9836
angles (deg): 60.00 60.00 60.00
With the nearest neighbours (Å) after each atom.
Fractional coordinates of all 4 atoms:
Co 0.2500 0.2500 0.2500  4 Zn 2.44, 4 P 2.44
Co 0.7500 0.7500 0.7500  4 P 2.44, 4 Zn 2.44
P 0.0000 0.0000 0.0000  8 Co 2.44
Zn 0.5000 0.5000 0.5000  8 Co 2.44

Summary:
- Crystal system: cubic
- E: -5.353 eV/atom
- DOS(E_F): 1.93 states/eV/cell
- Energy above the lowest structure with this stoichiometry: 124 meV/atom
- Magnetic moment: 1.23 μB/f.u.

***

First-principles (PBE-GGA) data for a relaxed Zn2CoP crystal, as listed in the Alexandria database.

a b c (Å): 4.2802 4.2802 4.6557
angles (deg): 80.58 80.58 39.48
With the nearest neighbours (Å) after each atom.
Fractional coordinates of all 4 atoms:
P 0.7763 0.7763 0.6996  2 Co 2.27, 1 Zn 2.49
Co 0.4874 0.4874 0.5263  2 P 2.27, 1 Zn 2.53
Zn 0.9987 0.9987 0.0095  3 Zn 2.43-2.66, 1 P 2.49, 2 Co 2.69
Zn 0.2376 0.2376 0.2646  3 Zn 2.43-2.66, 3 Co 2.53-2.60, 2 P 2.55

Summary:
- Crystal system: monoclinic
- E: -3.750 eV/atom
- DOS(E_F): 2.22 states/eV/cell
- Magnetic moment: 0.06 μB/f.u.

***

First-principles (PBE-GGA) data for a relaxed ZnCo2P crystal, as listed in the Alexandria database.

a b c (Å): 4.5156 4.5156 4.0320
angles (deg): 75.16 75.16 35.46
With the nearest neighbours (Å) after each atom.
Fractional coordinates of all 4 atoms:
Zn 0.2440 0.2440 0.1915  7 Co 2.37-2.49
P 0.4896 0.4896 0.5903  5 Co 2.27-2.54
Co 0.9942 0.9942 0.0473  4 P 2.31-2.58, 3 Zn 2.37-2.49
Co 0.7722 0.7722 0.6710  3 P 2.27-2.54, 4 Zn 2.44-2.47

Summary:
- Crystal system: monoclinic
- E: -5.337 eV/atom
- DOS(E_F): 3.37 states/eV/cell
- Energy above the lowest structure with this stoichiometry: 140 meV/atom
- Magnetic moment: 0.55 μB/f.u.